A relaxed structure of Hg2OsCl. Source: Alexandria via LeMat-Bulk, functional GGA-PBE.

Results
- VASP energy: -2.67 eV per atom

Cell: 2.810 4.689 7.786 Å, 90.00 90.00 90.00°
Space group Pmm2 (No. 25)
Asymmetric unit:
Hg1 0.000 0.000 0.000 (multiplicity 1)
Hg2 0.500 0.500 0.396 (multiplicity 1)
Os1 0.000 0.000 0.341 (multiplicity 1)
Cl1 0.500 0.500 0.809 (multiplicity 1)